No. 1
First-principles (SCAN) data for a crystal of Rb2ClF relaxed with PBEsol, as listed in the Alexandria database.

Results
- total magnetic moment (Bohr magnetons per cell) = 0.181
- ΔE_f (raw) (meV/atom) = -2412
- density of states at the Fermi level (states/eV/f.u.) = 0.0

```
data_Rb2ClF
_chemical_formula_sum 'Rb4 Cl2 F2'
_space_group_name_H-M_alt 'P 1'
_space_group_IT_number 1
_cell_length_a 6.926
_cell_length_b 6.926
_cell_length_c 6.926
_cell_angle_alpha 78.09
_cell_angle_beta 66.62
_cell_angle_gamma 113.38
loop_
_space_group_symop_operation_xyz
'x,y,z'
loop_
_atom_site_label
_atom_site_fract_x
_atom_site_fract_y
_atom_site_fract_z
F1 0.500 0.750 0.750
F2 0.000 0.500 0.500
Rb1 0.055 0.430 0.125
Rb2 0.945 0.820 0.625
Rb3 0.555 0.125 0.820
Rb4 0.445 0.625 0.430
Cl1 0.500 0.250 0.250
Cl2 0.000 0.000 0.000
```


No. 2
First-principles (SCAN) data for a crystal of Rb2ClF2 relaxed with PBEsol, as listed in the Alexandria database.

Results
- total magnetic moment (Bohr magnetons per cell) = 1.014
- ΔE_f (raw) (meV/atom) = -1960
- density of states at the Fermi level (states/eV/f.u.) = 7.6

```
data_Rb2ClF2
_chemical_formula_sum 'Rb2 Cl1 F2'
_space_group_name_H-M_alt 'P 1'
_space_group_IT_number 1
_cell_length_a 4.166
_cell_length_b 4.166
_cell_length_c 8.013
_cell_angle_alpha 105.07
_cell_angle_beta 105.07
_cell_angle_gamma 90.00
loop_
_space_group_symop_operation_xyz
'x,y,z'
loop_
_atom_site_label
_atom_site_fract_x
_atom_site_fract_y
_atom_site_fract_z
F1 0.250 0.750 0.500
F2 0.750 0.250 0.500
Rb1 0.363 0.363 0.726
Rb2 0.637 0.637 0.274
Cl1 0.000 0.000 0.000
```


No. 3
First-principles (SCAN) data for a crystal of RbClF2 relaxed with PBEsol, as listed in the Alexandria database.

Results
- total magnetic moment (Bohr magnetons per cell) = 0.008
- ΔE_f (raw) (meV/atom) = -1775
- density of states at the Fermi level (states/eV/f.u.) = 0.0

```
data_RbClF2
_chemical_formula_sum 'Rb1 Cl1 F2'
_space_group_name_H-M_alt 'P 1'
_space_group_IT_number 1
_cell_length_a 4.550
_cell_length_b 4.550
_cell_length_c 6.273
_cell_angle_alpha 68.74
_cell_angle_beta 68.74
_cell_angle_gamma 60.00
loop_
_space_group_symop_operation_xyz
'x,y,z'
loop_
_atom_site_label
_atom_site_fract_x
_atom_site_fract_y
_atom_site_fract_z
Cl1 0.000 0.000 0.000
Rb1 0.500 0.500 0.500
F1 0.891 0.891 0.328
F2 0.109 0.109 0.672
```


No. 4
First-principles (SCAN) data for a crystal of ReS2ClF relaxed with PBEsol, as listed in the Alexandria database.

Results
- total magnetic moment (Bohr magnetons per cell) = 4.856
- ΔE_f (raw) (meV/atom) = 1315
- density of states at the Fermi level (states/eV/f.u.) = 2.6

```
data_ReS2ClF
_chemical_formula_sum 'Re1 S2 Cl1 F1'
_space_group_name_H-M_alt 'P 1'
_space_group_IT_number 1
_cell_length_a 4.065
_cell_length_b 4.065
_cell_length_c 5.254
_cell_angle_alpha 90.00
_cell_angle_beta 90.00
_cell_angle_gamma 90.00
loop_
_space_group_symop_operation_xyz
'x,y,z'
loop_
_atom_site_label
_atom_site_fract_x
_atom_site_fract_y
_atom_site_fract_z
Re1 0.500 0.500 0.500
S1 0.000 0.500 0.000
S2 0.500 0.000 0.000
F1 0.000 0.000 0.000
Cl1 0.000 0.000 0.500
```


No. 5
First-principles (SCAN) data for a crystal of Rh3ClF relaxed with PBEsol, as listed in the Alexandria database.

Results
- total magnetic moment (Bohr magnetons per cell) = 5.233
- ΔE_f (raw) (meV/atom) = 824
- density of states at the Fermi level (states/eV/f.u.) = 4.5

```
data_Rh3ClF
_chemical_formula_sum 'Rh3 Cl1 F1'
_space_group_name_H-M_alt 'P 1'
_space_group_IT_number 1
_cell_length_a 4.299
_cell_length_b 4.299
_cell_length_c 4.299
_cell_angle_alpha 90.00
_cell_angle_beta 90.00
_cell_angle_gamma 90.00
loop_
_space_group_symop_operation_xyz
'x,y,z'
loop_
_atom_site_label
_atom_site_fract_x
_atom_site_fract_y
_atom_site_fract_z
F1 0.000 0.000 0.000
Rh1 0.000 0.500 0.000
Rh2 0.000 0.000 0.500
Rh3 0.500 0.000 0.000
Cl1 0.500 0.500 0.500
```


No. 6
First-principles (SCAN) data for a crystal of RhS2ClF relaxed with PBEsol, as listed in the Alexandria database.

Results
- total magnetic moment (Bohr magnetons per cell) = 3.020
- ΔE_f (raw) (meV/atom) = 805
- density of states at the Fermi level (states/eV/f.u.) = 2.7

```
data_RhS2ClF
_chemical_formula_sum 'Rh1 S2 Cl1 F1'
_space_group_name_H-M_alt 'P 1'
_space_group_IT_number 1
_cell_length_a 4.006
_cell_length_b 4.006
_cell_length_c 5.300
_cell_angle_alpha 90.00
_cell_angle_beta 90.00
_cell_angle_gamma 90.00
loop_
_space_group_symop_operation_xyz
'x,y,z'
loop_
_atom_site_label
_atom_site_fract_x
_atom_site_fract_y
_atom_site_fract_z
S1 0.000 0.500 0.000
S2 0.500 0.000 0.000
F1 0.000 0.000 0.000
Rh1 0.500 0.500 0.500
Cl1 0.000 0.000 0.500
```


No. 7
First-principles (SCAN) data for a crystal of ScRhCl2F relaxed with PBEsol, as listed in the Alexandria database.

Results
- total magnetic moment (Bohr magnetons per cell) = 0.000
- ΔE_f (raw) (meV/atom) = -878
- density of states at the Fermi level (states/eV/f.u.) = 1.9

```
data_ScRhCl2F
_chemical_formula_sum 'Sc1 Rh1 Cl2 F1'
_space_group_name_H-M_alt 'P 1'
_space_group_IT_number 1
_cell_length_a 4.586
_cell_length_b 4.586
_cell_length_c 4.855
_cell_angle_alpha 90.00
_cell_angle_beta 90.00
_cell_angle_gamma 90.00
loop_
_space_group_symop_operation_xyz
'x,y,z'
loop_
_atom_site_label
_atom_site_fract_x
_atom_site_fract_y
_atom_site_fract_z
Sc1 0.000 0.000 0.500
F1 0.500 0.500 0.500
Rh1 0.000 0.000 0.000
Cl1 0.000 0.500 0.000
Cl2 0.500 0.000 0.000
```


No. 8
First-principles (SCAN) data for a crystal of RuClF2 relaxed with PBEsol, as listed in the Alexandria database.

Results
- total magnetic moment (Bohr magnetons per cell) = 5.008
- ΔE_f (raw) (meV/atom) = -362
- density of states at the Fermi level (states/eV/f.u.) = 1.3

```
data_RuClF2
_chemical_formula_sum 'Ru1 Cl1 F2'
_space_group_name_H-M_alt 'P 1'
_space_group_IT_number 1
_cell_length_a 4.143
_cell_length_b 4.143
_cell_length_c 4.143
_cell_angle_alpha 60.00
_cell_angle_beta 60.00
_cell_angle_gamma 60.00
loop_
_space_group_symop_operation_xyz
'x,y,z'
loop_
_atom_site_label
_atom_site_fract_x
_atom_site_fract_y
_atom_site_fract_z
Ru1 0.500 0.500 0.500
F1 0.250 0.250 0.250
F2 0.750 0.750 0.750
Cl1 0.000 0.000 0.000
```


No. 9
First-principles (SCAN) data for a crystal of RuCl2F relaxed with PBEsol, as listed in the Alexandria database.

Results
- total magnetic moment (Bohr magnetons per cell) = 1.006
- ΔE_f (raw) (meV/atom) = -334
- density of states at the Fermi level (states/eV/f.u.) = 0.2

```
data_RuCl2F
_chemical_formula_sum 'Ru1 Cl2 F1'
_space_group_name_H-M_alt 'P 1'
_space_group_IT_number 1
_cell_length_a 3.506
_cell_length_b 3.506
_cell_length_c 7.197
_cell_angle_alpha 75.90
_cell_angle_beta 75.90
_cell_angle_gamma 60.00
loop_
_space_group_symop_operation_xyz
'x,y,z'
loop_
_atom_site_label
_atom_site_fract_x
_atom_site_fract_y
_atom_site_fract_z
Ru1 0.500 0.500 0.500
F1 0.000 0.000 0.000
Cl1 0.892 0.892 0.325
Cl2 0.108 0.108 0.675
```


No. 10
First-principles (SCAN) data for a crystal of RuS2ClF relaxed with PBEsol, as listed in the Alexandria database.

Results
- total magnetic moment (Bohr magnetons per cell) = 4.123
- ΔE_f (raw) (meV/atom) = 888
- density of states at the Fermi level (states/eV/f.u.) = 1.6

```
data_RuS2ClF
_chemical_formula_sum 'Ru1 S2 Cl1 F1'
_space_group_name_H-M_alt 'P 1'
_space_group_IT_number 1
_cell_length_a 4.038
_cell_length_b 4.038
_cell_length_c 5.292
_cell_angle_alpha 90.00
_cell_angle_beta 90.00
_cell_angle_gamma 90.00
loop_
_space_group_symop_operation_xyz
'x,y,z'
loop_
_atom_site_label
_atom_site_fract_x
_atom_site_fract_y
_atom_site_fract_z
Ru1 0.500 0.500 0.500
S1 0.000 0.500 0.000
S2 0.500 0.000 0.000
F1 0.000 0.000 0.000
Cl1 0.000 0.000 0.500
```